1.
# BePOs2, PBEsol geometry, DFT SCAN
data_BePOs2
_chemical_formula_sum 'Be2 P2 Os4'
_symmetry_space_group_name_H-M 'C 1 m 1'
_symmetry_Int_Tables_number 8
_cell_length_a 8.221
_cell_length_b 2.858
_cell_length_c 4.255
_cell_angle_alpha 90.00
_cell_angle_beta 106.50
_cell_angle_gamma 90.00
loop_
_symmetry_equiv_pos_as_xyz
'x,y,z'
'x,-y,z'
'x+1/2,y+1/2,z'
'x+1/2,-y+1/2,z'
loop_
_atom_site_label
_atom_site_type_symbol
_atom_site_fract_x
_atom_site_fract_y
_atom_site_fract_z
Be1 Be 0.000 0.000 0.000
P1 P 0.245 0.500 0.297
Os1 Os 0.255 0.000 0.862
Os2 Os 0.497 0.000 0.477
# M_tot   0.0000 μB per atom
# Formation energy   -0.167 eV per atom
# Density of states at the Fermi level   2.1 states/eV/f.u.
# Density   14.6 g/cm³

2.
# SnIrSe2N, PBEsol geometry, DFT SCAN
data_SnIrSe2N
_chemical_formula_sum 'Sn1 Ir1 Se2 N1'
_symmetry_space_group_name_H-M 'P 4/m m m'
_symmetry_Int_Tables_number 123
_symmetry_space_group_name_Hall '-P 4 2'
_cell_length_a 4.280
_cell_length_b 4.280
_cell_length_c 4.416
_cell_angle_alpha 90.00
_cell_angle_beta 90.00
_cell_angle_gamma 90.00
loop_
_atom_site_label
_atom_site_type_symbol
_atom_site_fract_x
_atom_site_fract_y
_atom_site_fract_z
Sn1 Sn 0.000 0.000 0.000
Ir1 Ir 0.500 0.500 0.000
Se1 Se 0.000 0.500 0.500
N1 N 0.000 0.000 0.500
# M_tot   0.0000 μB per atom
# Density of states at the Fermi level   3.0 states/eV/f.u.
# E_form (uncorrected)   1.119 eV per atom
# Density   9.9 g/cm³

- Which value of M_tot does entry 1 give?
  0.0000 μB per atom